The following is a PBE calculation of an optimized crystal structure of Mg4ScCu, from Alexandria via LeMat-Bulk.

Computed properties:
Crystal system: cubic
ΔE_f in eV/f.u.: 1.5
Final energy in eV per atom: -2.558
DOS(E_F) in states/eV/atom: 0.9866

Cell: 5.688 5.688 5.688 Å, 60.00 60.00 60.00°
Atoms (fractional coordinates):
1 Mg 0.875 0.375 0.375
2 Mg 0.375 0.875 0.375
3 Cu 0.000 0.000 0.000
4 Mg 0.375 0.375 0.375
5 Mg 0.375 0.375 0.875
6 Sc 0.750 0.750 0.750


The following is a PBE calculation of an optimized crystal structure of MgSc4Cu, from Alexandria via LeMat-Bulk.

Computed properties:
Crystal system: cubic
ΔE_f in eV/f.u.: 2.4
Final energy in eV per atom: -4.767
DOS(E_F) in states/eV/atom: 1.0764

Cell: 5.816 5.816 5.816 Å, 60.00 60.00 60.00°
Atoms (fractional coordinates):
1 Sc 0.375 0.375 0.375
2 Sc 0.375 0.875 0.375
3 Sc 0.375 0.375 0.875
4 Sc 0.875 0.375 0.375
5 Mg 0.000 0.000 0.000
6 Cu 0.750 0.750 0.750


The following is a PBE calculation of an optimized crystal structure of Mg2ScCu2, from Alexandria via LeMat-Bulk.

Computed properties:
Crystal system: tetragonal
ΔE_f in eV/f.u.: -0.1
Final energy in eV per atom: -3.560
DOS(E_F) in states/eV/atom: 0.7618

Cell: 7.778 7.778 2.866 Å, 90.00 90.00 90.00°
Site moments in Bohr magnetons follow the coordinates.
Atoms (fractional coordinates):
1 Mg 0.630 0.130 0.000  0.00
2 Cu 0.331 0.169 0.500  0.00
3 Mg 0.370 0.870 0.000  0.00
4 Cu 0.831 0.331 0.500  0.00
5 Sc 0.000 0.000 0.000  0.23
6 Cu 0.669 0.831 0.500  0.00
7 Cu 0.169 0.669 0.500  0.00
8 Mg 0.870 0.630 0.000  0.00
9 Sc 0.500 0.500 0.000  0.23
10 Mg 0.130 0.370 0.000  0.00


The following is a PBE calculation of an optimized crystal structure of Mg2ScCu2, from Alexandria via LeMat-Bulk.

Computed properties:
Crystal system: tetragonal
ΔE_f in eV/f.u.: 0.6
Final energy in eV per atom: -3.416
DOS(E_F) in states/eV/atom: 0.6359

Cell: 3.713 3.713 7.290 Å, 75.25 75.25 90.00°
Site moments in Bohr magnetons follow the coordinates.
Atoms (fractional coordinates):
1 Cu 0.250 0.750 0.500  0.00
2 Sc 0.000 0.000 0.000  0.17
3 Mg 0.614 0.614 0.773  0.00
4 Mg 0.386 0.386 0.227  0.00
5 Cu 0.750 0.250 0.500  0.00